Entry 1:
CrMo2W, optimized geometry, DFT PBE; formation enthalpy at 0 K = 0.0407 eV/atom; ΔE to the lowest computed polymorph = 1 meV/atom; final energy = -11.019 eV/atom
1.0
3.104 0.000 0.000
0.000 3.104 0.000
0.000 0.000 6.207
W Mo Cr
1 2 1
direct
0.000 0.000 0.510 W
0.500 0.500 0.248 Mo
0.000 0.000 0.991 Mo
0.500 0.500 0.750 Cr

Entry 2:
CrMoW2, optimized geometry, DFT PBE; formation enthalpy at 0 K = 0.0612 eV/atom; ΔE to the lowest computed polymorph = 30 meV/atom; final energy = -11.529 eV/atom
1.0
4.371 0.000 0.000
0.000 2.711 -0.001
0.000 0.877 5.098
W Mo Cr
2 1 1
direct
0.000 0.001 0.005 W
0.000 0.499 0.495 W
0.500 0.750 0.750 Mo
0.500 0.250 0.250 Cr

Entry 3:
CrMo6W3, optimized geometry, DFT PBE; formation enthalpy at 0 K = 0.0088 eV/atom; final energy = -11.338 eV/atom
1.0
4.452 0.000 0.000
0.000 7.369 -2.248
0.000 0.207 9.436
Mo W Cr
12 6 2
direct
0.250 0.450 0.101 Mo
0.250 0.652 0.698 Mo
0.750 0.348 0.302 Mo
0.750 0.757 0.501 Mo
0.250 0.149 0.203 Mo
0.750 0.851 0.797 Mo
0.750 0.145 0.694 Mo
0.250 0.049 0.897 Mo
0.750 0.951 0.103 Mo
0.250 0.855 0.306 Mo
0.750 0.550 0.899 Mo
0.250 0.243 0.499 Mo
0.250 0.751 0.001 W
0.750 0.653 0.203 W
0.750 0.447 0.598 W
0.250 0.347 0.797 W
0.750 0.249 0.999 W
0.250 0.553 0.402 W
0.250 0.952 0.598 Cr
0.750 0.048 0.402 Cr

Entry 4:
CrMo3W, optimized geometry, DFT PBE; formation enthalpy at 0 K = 2.1980 eV/atom; ΔE to the lowest computed polymorph = 1911 meV/atom; final energy = -8.816 eV/atom
1.0
-2.214 -2.637 3.183
3.615 -2.986 0.042
2.003 2.474 3.443
Mo W Cr
3 1 1
direct
0.500 0.000 0.000 Mo
0.000 0.500 0.000 Mo
0.000 0.000 0.500 Mo
0.000 0.000 0.000 W
0.500 0.500 0.500 Cr